Record 1
Computed, not measured: an optimized crystal structure of Mg4TlPt at the PBE level of DFT.

Results
Density in Mg/m³: 6.2
Uncorrected energy in eV per atom: -2.826
Size of the total moment in μB/f.u.: 0.00
Formation energy in kJ/mol of atoms: -35

Cell: 8.150 12.393 5.571 Å, 90.00 109.79 90.00°
Space group C2/c (No. 15)
Asymmetric unit:
Mg: 0.108 0.174 0.058 [8 per cell]
Mg: 0.222 0.416 0.361 [8 per cell]
Tl: 0.000 0.378 0.750 [4 per cell]
Pt: 0.000 0.001 0.250 [4 per cell]

Record 2
Computed, not measured: an optimized crystal structure of MgTl2Pt at the PBE level of DFT.

Results
Density in Mg/m³: 10.9
Uncorrected energy in eV per atom: -3.061
Size of the total moment in μB/f.u.: 0.00
Formation energy in kJ/mol of atoms: 3

Cell: 3.6969 3.6969 24.2785 Å, 90.00 90.00 120.00°
Space group R-3m (No. 166, hexagonal axes)
Asymmetric unit:
Mg: 0.0000 0.0000 0.0000 [3 per cell]
Tl: 0.0000 0.0000 0.2416 [6 per cell]
Pt: 0.0000 0.0000 0.5000 [3 per cell]

Record 3
Computed, not measured: an optimized crystal structure of MgTl2Pt at the PBE level of DFT.

Results
Density in Mg/m³: 11.9
Uncorrected energy in eV per atom: -3.091
Size of the total moment in μB/f.u.: 0.00
Formation energy in kJ/mol of atoms: 0

Cell: 3.659 3.769 6.344 Å, 90.00 90.00 90.00°
Space group Pmmm (No. 47)
Asymmetric unit:
Mg: 0.000 0.000 0.000 [1 per cell]
Tl: 0.500 0.500 0.264 [2 per cell]
Pt: 0.000 0.000 0.500 [1 per cell]

Record 4
Computed, not measured: an optimized crystal structure of MgTlPt3 at the PBE level of DFT.

Results
Density in Mg/m³: 10.6
Uncorrected energy in eV per atom: -3.513
Size of the total moment in μB/f.u.: 0.00
Formation energy in kJ/mol of atoms: 87

Cell: 5.035 5.035 5.035 Å, 90.00 90.00 90.00°
Space group Pm-3m (No. 221)
Asymmetric unit:
Mg: 0.000 0.000 0.000 [1 per cell]
Tl: 0.500 0.500 0.500 [1 per cell]
Pt: 0.000 0.500 0.500 [3 per cell]

Record 5
Computed, not measured: an optimized crystal structure of MgTl2Pt at the PBE level of DFT.

Results
Density in Mg/m³: 12.0
Uncorrected energy in eV per atom: -3.132
Size of the total moment in μB/f.u.: 0.00
Formation energy in kJ/mol of atoms: -4

Cell: 4.495 4.495 8.582 Å, 90.00 90.00 90.00°
Space group I-4m2 (No. 119)
Asymmetric unit:
Mg: 0.000 0.000 0.000 [2 per cell]
Tl: 0.000 0.000 0.500 [2 per cell]
Tl: 0.000 0.500 0.250 [2 per cell]
Pt: 0.000 0.500 0.750 [2 per cell]

Record 6
Computed, not measured: an optimized crystal structure of Mg8Tl2Pt at the PBE level of DFT.

Results
Density in Mg/m³: 5.5
Uncorrected energy in eV per atom: -2.352
Size of the total moment in μB/f.u.: 0.00
Formation energy in kJ/mol of atoms: -21

Cell: 16.151 4.926 6.687 Å, 90.00 114.18 90.00°
Space group C2/m (No. 12)
Asymmetric unit:
Mg: 0.002 0.000 0.273 [4 per cell]
Mg: 0.129 0.500 0.896 [4 per cell]
Mg: 0.136 0.500 0.381 [4 per cell]
Mg: 0.182 0.000 0.691 [4 per cell]
Tl: 0.181 0.000 0.180 [4 per cell]
Pt: 0.000 0.500 0.500 [2 per cell]

Record 7
Computed, not measured: an optimized crystal structure of Mg2TlPt at the PBE level of DFT.

Results
Density in Mg/m³: 9.2
Uncorrected energy in eV per atom: -3.365
Size of the total moment in μB/f.u.: 0.00
Formation energy in kJ/mol of atoms: -45

Cell: 3.151 3.233 7.959 Å, 90.00 90.48 90.00°
Space group P2/m (No. 10)
Asymmetric unit:
Mg: 0.005 0.000 0.196 [2 per cell]
Tl: 0.500 0.500 0.500 [1 per cell]
Pt: 0.500 0.500 0.000 [1 per cell]

Record 8
Computed, not measured: an optimized crystal structure of Mg2TlPt at the PBE level of DFT.

Results
Density in Mg/m³: 9.3
Uncorrected energy in eV per atom: -3.198
Size of the total moment in μB/f.u.: 0.00
Formation energy in kJ/mol of atoms: -29

Cell: 3.606 3.656 6.075 Å, 90.00 90.00 90.00°
Space group Pmm2 (No. 25)
Asymmetric unit:
Mg: 0.000 0.000 0.000 [1 per cell]
Mg: 0.500 0.500 0.279 [1 per cell]
Tl: 0.500 0.500 0.740 [1 per cell]
Pt: 0.000 0.000 0.449 [1 per cell]